The following is a DFT calculation (PBE) of crystalline CdCuPb2N at its relaxed geometry.

Cell: 5.606 5.606 4.728 Å, 90.00 90.00 90.00°
Space group P4/mmm (No. 123)
Asymmetric unit:
Cd (0.000, 0.000, 0.000)
Cu (0.000, 0.000, 0.500)
Pb (0.000, 0.500, 0.000)
N (0.500, 0.500, 0.500)

ΔE_f (raw): 8.3 eV per formula unit
spin magnetization: 0.0 μB/f.u.

***

The following is a DFT calculation (PBE) of crystalline Tl5Sn2Se5 at its relaxed geometry.

Cell: 14.369 4.845 12.408 Å, 90.00 110.74 90.00°
Space group C2/m (No. 12)
Asymmetric unit:
Tl (0.000, 0.000, 0.000)
Tl (0.158, 0.000, 0.553)
Tl (0.234, 0.000, 0.851)
Sn (0.048, 0.500, 0.295)
Se (0.000, 0.500, 0.500)
Se (0.112, 0.500, 0.898)
Se (0.142, 0.000, 0.290)

ΔE_f (raw): -4.4 eV per formula unit
spin magnetization: 0.0 μB/f.u.

***

The following is a DFT calculation (PBE) of crystalline SmDyY2Sc2 at its relaxed geometry.

Cell: 6.306 17.403 3.351 Å, 90.00 90.00 90.00°
Space group Pnnm (No. 58)
Asymmetric unit:
Sm (0.000, 0.000, 0.000)
Dy (0.000, 0.500, 0.000)
Y (0.225, 0.309, 0.000)
Sc (0.224, 0.145, 0.500)

spin magnetization: 0.0 μB/f.u.
ΔE_f: 26.2 kJ/mol of atoms

***

The following is a DFT calculation (PBE) of crystalline PmBeCuSi2 at its relaxed geometry.

Cell: 4.007 4.007 9.850 Å, 90.00 90.00 90.00°
Space group I-4m2 (No. 119)
Asymmetric unit:
Pm (0.000, 0.000, 0.000)
Be (0.000, 0.500, 0.250)
Cu (0.000, 0.500, 0.750)
Si (0.000, 0.000, 0.378)

ΔE_f (raw): -2.4 eV per formula unit
spin magnetization: 0.0 μB/f.u.

***

The following is a DFT calculation (PBE) of crystalline HfHgN2 at its relaxed geometry.

Cell: 3.3612 3.3612 18.7718 Å, 90.00 90.00 120.00°
Space group R-3m (No. 166, hexagonal axes)
Asymmetric unit:
Hf (0.0000, 0.0000, 0.0000)
Hg (0.0000, 0.0000, 0.5000)
N (0.0000, 0.0000, 0.3901)

ΔE_f (raw): -2.5 eV per formula unit
spin magnetization: 0.0 μB/f.u.

***

The following is a DFT calculation (PBE) of crystalline Re2PtBr at its relaxed geometry.

Cell: 5.320 9.543 2.859 Å, 90.00 114.78 90.00°
Space group C2/m (No. 12)
Asymmetric unit:
Re (0.250, 0.250, 0.000)
Pt (0.000, 0.000, 0.500)
Br (0.000, 0.500, 0.500)

ΔE_f (raw): 4.8 eV per formula unit
spin magnetization: 0.0 μB/f.u.
energy above the lowest structure with this stoichiometry: 816.2 meV per atom

***

The following is a DFT calculation (PBE) of crystalline Tb4Nd3Sm4 at its relaxed geometry.

Cell: 3.587 11.344 18.717 Å, 90.00 90.00 90.00°
Space group Immm (No. 71)
Asymmetric unit:
Tb (0.000, 0.000, 0.229)
Tb (0.000, 0.213, 0.500)
Nd (0.000, 0.000, 0.000)
Nd (0.000, 0.500, 0.103)
Sm (0.000, 0.264, 0.331)

spin magnetization: 0.0 μB/f.u.
energy above the lowest structure with this stoichiometry: 18.4 meV per atom
ΔE_f: 16.4 kJ/mol of atoms

***

The following is a DFT calculation (PBE) of crystalline CdTeW2N at its relaxed geometry.

Cell: 4.945 4.945 5.360 Å, 90.00 90.00 90.00°
Space group P4/mmm (No. 123)
Asymmetric unit:
Cd (0.000, 0.000, 0.000)
Te (0.000, 0.000, 0.500)
W (0.000, 0.500, 0.500)
N (0.500, 0.500, 0.000)

ΔE_f (raw): 16.4 eV per formula unit
spin magnetization: 2.2 μB/f.u.

***

The following is a DFT calculation (PBE) of crystalline KRb2CdPb at its relaxed geometry.

Cell: 7.093 7.093 5.659 Å, 90.00 90.00 90.00°
Space group P4/mmm (No. 123)
Asymmetric unit:
K (0.000, 0.000, 0.000)
Rb (0.000, 0.500, 0.500)
Cd (0.500, 0.500, 0.500)
Pb (0.500, 0.500, 0.000)

spin magnetization: 0.3 μB/f.u.
energy above the lowest structure with this stoichiometry: 0.0 meV per atom
ΔE_f: 4.6 kJ/mol of atoms

***

The following is a DFT calculation (PBE) of crystalline K4Dy3ThTe8 at its relaxed geometry.

Cell: 8.9788 8.9788 24.8801 Å, 90.00 90.00 120.00°
Space group R-3m (No. 166, hexagonal axes)
Asymmetric unit:
K (0.0000, 0.0000, 0.0000)
K (0.0000, 0.5000, 0.0000)
Dy (0.0000, 0.5000, 0.5000)
Th (0.0000, 0.0000, 0.5000)
Te (0.0000, 0.0000, 0.2362)
Te (0.0038, 0.5019, 0.7625)

ΔE_f (raw): -21.4 eV per formula unit
spin magnetization: 0.0 μB/f.u.

***

The following is a DFT calculation (PBE) of crystalline Zr3CN at its relaxed geometry.

Cell: 4.337 4.337 4.337 Å, 90.00 90.00 90.00°
Space group Pm-3m (No. 221)
Asymmetric unit:
Zr (0.000, 0.000, 0.500)
C (0.500, 0.500, 0.500)
N (0.000, 0.000, 0.000)

ΔE_f (raw): 1.1 eV per formula unit
spin magnetization: 0.0 μB/f.u.
energy above the lowest structure with this stoichiometry: 1103.7 meV per atom

***

The following is a DFT calculation (PBE) of crystalline Tc2AuBr at its relaxed geometry.

Cell: 2.943 4.872 10.340 Å, 90.00 90.00 90.00°
Space group Cmm2 (No. 35)
Asymmetric unit:
Tc (0.000, 0.000, 0.000)
Tc (0.000, 0.500, 0.196)
Au (0.000, 0.000, 0.438)
Br (0.000, 0.500, 0.764)

ΔE_f (raw): 2.2 eV per formula unit
spin magnetization: 0.0 μB/f.u.
energy above the lowest structure with this stoichiometry: 283.6 meV per atom